[1]
DFT (PBE) results for a relaxed MgTaNiB crystal.

a b c (Å): 5.9345 5.9345 5.9345
angles (deg): 90.00 90.00 90.00
Space group F-43m (No. 216)
Asymmetric unit:
Mg (0.0000, 0.0000, 0.0000) [4 per cell]
Ta (0.2500, 0.2500, 0.7500) [4 per cell]
Ni (0.0000, 0.0000, 0.5000) [4 per cell]
B (0.2500, 0.2500, 0.2500) [4 per cell]

Calculated values
E: -22.5 eV/f.u.
Energy above the most stable polymorph in this dataset: 593 meV/atom

---

[2]
DFT (PBE) results for a relaxed Si5AgW3 crystal.

a b c (Å): 5.3842 5.3842 6.3870
angles (deg): 90.00 90.00 120.00
Space group P6/mmm (No. 191)
Asymmetric unit:
Si (0.0000, 0.0000, 0.0000) [1 per cell]
Si (0.3333, 0.6667, 0.3193) [4 per cell]
Ag (0.0000, 0.0000, 0.5000) [1 per cell]
W (0.0000, 0.5000, 0.0000) [3 per cell]

Calculated values
E: -66.0 eV/f.u.

---

[3]
DFT (PBE) results for a relaxed ReS2 crystal.

a b c (Å): 3.2918 3.2918 12.2421
angles (deg): 90.00 90.00 120.00
Space group P6_3/mmc (No. 194)
Asymmetric unit:
Re (0.3333, 0.6667, 0.2500) [2 per cell]
S (0.3333, 0.6667, 0.6310) [4 per cell]

Calculated values
E: -21.4 eV/f.u.

---

[4]
DFT (PBE) results for a relaxed NbCoBiOs crystal.

a b c (Å): 6.4936 6.4936 6.4936
angles (deg): 90.00 90.00 90.00
Space group F-43m (No. 216)
Asymmetric unit:
Nb (0.0000, 0.0000, 0.0000) [4 per cell]
Co (0.2500, 0.2500, 0.7500) [4 per cell]
Bi (0.0000, 0.0000, 0.5000) [4 per cell]
Os (0.2500, 0.2500, 0.2500) [4 per cell]

Calculated values
E: -30.7 eV/f.u.
Energy above the most stable polymorph in this dataset: 0 meV/atom